No. 1
A crystal of YZrBe relaxed with PBEsol, computed with SCAN.

Unit cell a=3.2524 b=3.2524 c=11.3906 alpha=90.00 beta=90.00 gamma=90.00
Sites, in units of the cell vectors:
Y 0.0000 0.0000 0.0000
Y 0.5000 0.5000 0.5000
Zr 0.0000 0.0000 0.2917
Zr 0.5000 0.5000 0.7917
Be 0.0000 0.0000 0.6651
Be 0.5000 0.5000 0.1651

The volume comes out at 20.082 Å³ per atom. The calculation puts the energy of formation at 27 kJ/mol of formula units. The calculation puts the magnetic moment at 0.0 μB per formula unit. The total DFT energy (no corrections) is -20.8716 eV/atom. As for the density of states at the Fermi level: 2.6 states/eV/f.u. As for the space group: I4mm, No. 107.



No. 2
A crystal of TaMn2Au relaxed with PBEsol, computed with SCAN.

Unit cell a=6.1076 b=6.1076 c=6.1076 alpha=90.00 beta=90.00 gamma=90.00
Sites, in units of the cell vectors:
Ta 0.0000 0.0000 0.0000
Ta 0.0000 0.5000 0.5000
Ta 0.5000 0.0000 0.5000
Ta 0.5000 0.5000 0.0000
Mn 0.2500 0.2500 0.2500
Mn 0.2500 0.2500 0.7500
Mn 0.2500 0.7500 0.2500
Mn 0.2500 0.7500 0.7500
Mn 0.7500 0.2500 0.2500
Mn 0.7500 0.2500 0.7500
Mn 0.7500 0.7500 0.2500
Mn 0.7500 0.7500 0.7500
Au 0.0000 0.0000 0.5000
Au 0.0000 0.5000 0.0000
Au 0.5000 0.0000 0.0000
Au 0.5000 0.5000 0.5000

The volume comes out at 14.240 Å³ per atom. The calculation puts the energy of formation at -95 kJ/mol of formula units. The calculation puts the magnetic moment at 5.9 μB per formula unit. The total DFT energy (no corrections) is -43.3098 eV/atom. As for the density of states at the Fermi level: 1.6 states/eV/f.u. As for the space group: Fm-3m, No. 225.



No. 3
A crystal of LaIn2Fe relaxed with PBEsol, computed with SCAN.

Unit cell a=7.0812 b=7.0812 c=7.0812 alpha=90.00 beta=90.00 gamma=90.00
Sites, in units of the cell vectors:
La 0.0000 0.0000 0.0000
La 0.0000 0.5000 0.5000
La 0.5000 0.0000 0.5000
La 0.5000 0.5000 0.0000
In 0.0000 0.0000 0.5000
In 0.0000 0.5000 0.0000
In 0.2500 0.2500 0.7500
In 0.2500 0.7500 0.2500
In 0.5000 0.0000 0.0000
In 0.5000 0.5000 0.5000
In 0.7500 0.2500 0.2500
In 0.7500 0.7500 0.7500
Fe 0.2500 0.2500 0.2500
Fe 0.2500 0.7500 0.7500
Fe 0.7500 0.2500 0.7500
Fe 0.7500 0.7500 0.2500

The volume comes out at 22.192 Å³ per atom. The calculation puts the energy of formation at -8 kJ/mol of formula units. The calculation puts the magnetic moment at 2.3 μB per formula unit. The total DFT energy (no corrections) is -32.0233 eV/atom. As for the density of states at the Fermi level: 3.9 states/eV/f.u. As for the space group: F-43m, No. 216.



No. 4
A crystal of CaYSeN2 relaxed with PBEsol, computed with SCAN.

Unit cell a=4.2938 b=4.2938 c=5.2639 alpha=90.00 beta=90.00 gamma=90.00
Sites, in units of the cell vectors:
Ca 0.0000 0.0000 0.0000
Y 0.5000 0.5000 0.5000
Se 0.0000 0.0000 0.5000
N 0.0000 0.5000 0.0000
N 0.5000 0.0000 0.0000

The volume comes out at 19.410 Å³ per atom. The calculation puts the magnetic moment at 3.0 μB per formula unit. The total DFT energy (no corrections) is -15.0416 eV/atom. As for the density of states at the Fermi level: 2.9 states/eV/f.u. As for the space group: P4/mmm, No. 123. For the formation energy (no corrections), the calculation gives 4.42 kcal/mol of atoms.



No. 5
A crystal of GaSnHg2N relaxed with PBEsol, computed with SCAN.

Unit cell a=5.6037 b=5.6037 c=5.3048 alpha=90.00 beta=90.00 gamma=90.00
Sites, in units of the cell vectors:
Ga 0.0000 0.0000 0.0000
Sn 0.0000 0.0000 0.5000
Hg 0.0000 0.5000 0.5000
Hg 0.5000 0.0000 0.5000
N 0.5000 0.5000 0.0000

The volume comes out at 33.316 Å³ per atom. The calculation puts the magnetic moment at 2.2 μB per formula unit. The total DFT energy (no corrections) is -38.3537 eV/atom. As for the density of states at the Fermi level: 2.3 states/eV/f.u. As for the space group: P4/mmm, No. 123. For the formation energy (no corrections), the calculation gives 28.24 kcal/mol of atoms.



No. 6
A crystal of ZrTaBr relaxed with PBEsol, computed with SCAN.

Unit cell a=6.4657 b=6.4657 c=6.4657 alpha=90.00 beta=90.00 gamma=90.00
Sites, in units of the cell vectors:
Zr 0.0000 0.0000 0.0000
Zr 0.0000 0.5000 0.5000
Zr 0.5000 0.0000 0.5000
Zr 0.5000 0.5000 0.0000
Ta 0.2500 0.2500 0.2500
Ta 0.2500 0.7500 0.7500
Ta 0.7500 0.2500 0.7500
Ta 0.7500 0.7500 0.2500
Br 0.0000 0.0000 0.5000
Br 0.0000 0.5000 0.0000
Br 0.5000 0.0000 0.0000
Br 0.5000 0.5000 0.5000

The volume comes out at 22.525 Å³ per atom. The calculation puts the magnetic moment at 0.0 μB per formula unit. The total DFT energy (no corrections) is -37.5558 eV/atom. As for the density of states at the Fermi level: 5.0 states/eV/f.u. As for the space group: F-43m, No. 216. For the formation energy (no corrections), the calculation gives 31.32 kcal/mol of atoms.



No. 7
A crystal of LaScTa2 relaxed with PBEsol, computed with SCAN.

Unit cell a=3.4426 b=3.4426 c=7.7648 alpha=90.00 beta=90.00 gamma=90.00
Sites, in units of the cell vectors:
La 0.0000 0.0000 0.0000
Sc 0.5000 0.5000 0.3339
Ta 0.0000 0.0000 0.5561
Ta 0.5000 0.5000 0.7221

The volume comes out at 23.006 Å³ per atom. The calculation puts the energy of formation at 82 kJ/mol of formula units. The calculation puts the magnetic moment at 0.0 μB per formula unit. The total DFT energy (no corrections) is -47.4138 eV/atom. As for the density of states at the Fermi level: 5.2 states/eV/f.u. As for the space group: P4mm, No. 99.



No. 8
A crystal of CaAgOs2 relaxed with PBEsol, computed with SCAN.

Unit cell a=6.4249 b=6.4249 c=6.4249 alpha=90.00 beta=90.00 gamma=90.00
Sites, in units of the cell vectors:
Ca 0.0000 0.0000 0.0000
Ca 0.0000 0.5000 0.5000
Ca 0.5000 0.0000 0.5000
Ca 0.5000 0.5000 0.0000
Ag 0.0000 0.0000 0.5000
Ag 0.0000 0.5000 0.0000
Ag 0.5000 0.0000 0.0000
Ag 0.5000 0.5000 0.5000
Os 0.2500 0.2500 0.2500
Os 0.2500 0.2500 0.7500
Os 0.2500 0.7500 0.2500
Os 0.2500 0.7500 0.7500
Os 0.7500 0.2500 0.2500
Os 0.7500 0.2500 0.7500
Os 0.7500 0.7500 0.2500
Os 0.7500 0.7500 0.7500

The volume comes out at 16.576 Å³ per atom. The calculation puts the energy of formation at 512 kJ/mol of formula units. The calculation puts the magnetic moment at 0.0 μB per formula unit. The total DFT energy (no corrections) is -44.8704 eV/atom. As for the density of states at the Fermi level: 6.7 states/eV/f.u. As for the space group: Fm-3m, No. 225.



No. 9
A crystal of TaMn2Os relaxed with PBEsol, computed with SCAN.

Unit cell a=2.7540 b=3.5223 c=5.5244 alpha=90.00 beta=90.00 gamma=90.00
Sites, in units of the cell vectors:
Ta 0.0000 0.0000 0.0000
Mn 0.5000 0.5000 0.2646
Mn 0.5000 0.5000 0.7354
Os 0.0000 0.0000 0.5000

The volume comes out at 13.397 Å³ per atom. The calculation puts the energy of formation at -12 kJ/mol of formula units. The calculation puts the magnetic moment at 4.2 μB per formula unit. The total DFT energy (no corrections) is -43.7746 eV/atom. As for the density of states at the Fermi level: 3.7 states/eV/f.u. As for the space group: Pmmm, No. 47.



No. 10
A crystal of Y4ScFe relaxed with PBEsol, computed with SCAN.

Unit cell a=6.1457 b=6.1457 c=6.1457 alpha=60.00 beta=60.00 gamma=60.00
Sites, in units of the cell vectors:
Y 0.1252 0.1252 0.1252
Y 0.1252 0.1252 0.6245
Y 0.1252 0.6245 0.1252
Y 0.6245 0.1252 0.1252
Sc 0.7500 0.7500 0.7500
Fe 0.5000 0.5000 0.5000

The volume comes out at 27.356 Å³ per atom. The calculation puts the energy of formation at 388 kJ/mol of formula units. The calculation puts the magnetic moment at 3.4 μB per formula unit. The total DFT energy (no corrections) is -23.2867 eV/atom. As for the density of states at the Fermi level: 7.7 states/eV/f.u. As for the space group: F-43m, No. 216.